A.
# Cr2HgSe2 (PBE, relaxed)
# crystal system	tetragonal
data_Cr2HgSe2
_space_group_name_H-M_alt 'I 4/m m m'
_space_group_IT_number 139
_space_group_name_Hall '-I 4 2'
_cell_length_a 4.843
_cell_length_b 4.843
_cell_length_c 7.919
_cell_angle_alpha 90.00
_cell_angle_beta 90.00
_cell_angle_gamma 90.00
loop_
_atom_site_label
_atom_site_type_symbol
_atom_site_fract_x
_atom_site_fract_y
_atom_site_fract_z
Cr1 Cr 0.000 0.000 0.116
Hg1 Hg 0.000 0.000 0.500
Se1 Se 0.000 0.500 0.250

B.
# Cr2HgSe2 (PBE, relaxed)
# crystal system	tetragonal
data_Cr2HgSe2
_space_group_name_H-M_alt 'I 4/m m m'
_space_group_IT_number 139
_space_group_name_Hall '-I 4 2'
_cell_length_a 3.521
_cell_length_b 3.521
_cell_length_c 19.194
_cell_angle_alpha 90.00
_cell_angle_beta 90.00
_cell_angle_gamma 90.00
loop_
_atom_site_label
_atom_site_type_symbol
_atom_site_fract_x
_atom_site_fract_y
_atom_site_fract_z
Cr1 Cr 0.000 0.500 0.250
Hg1 Hg 0.000 0.000 0.000
Se1 Se 0.000 0.000 0.337

Most stable of them? B.

A.
# Cr3SiHg (PBE, relaxed)
# crystal system	cubic
data_Cr3SiHg
_space_group_name_H-M_alt 'P m -3 m'
_space_group_IT_number 221
_space_group_name_Hall '-P 4 2 3'
_cell_length_a 5.068
_cell_length_b 5.068
_cell_length_c 5.068
_cell_angle_alpha 90.00
_cell_angle_beta 90.00
_cell_angle_gamma 90.00
loop_
_atom_site_label
_atom_site_type_symbol
_atom_site_fract_x
_atom_site_fract_y
_atom_site_fract_z
Cr1 Cr 0.000 0.000 0.500
Si1 Si 0.500 0.500 0.500
Hg1 Hg 0.000 0.000 0.000

B.
# Cr3SiHg (PBE, relaxed)
# crystal system	cubic
data_Cr3SiHg
_space_group_name_H-M_alt 'P m -3 m'
_space_group_IT_number 221
_space_group_name_Hall '-P 4 2 3'
_cell_length_a 4.475
_cell_length_b 4.475
_cell_length_c 4.475
_cell_angle_alpha 90.00
_cell_angle_beta 90.00
_cell_angle_gamma 90.00
loop_
_atom_site_label
_atom_site_type_symbol
_atom_site_fract_x
_atom_site_fract_y
_atom_site_fract_z
Cr1 Cr 0.000 0.000 0.500
Si1 Si 0.000 0.000 0.000
Hg1 Hg 0.500 0.500 0.500

Most stable of them? B.

A.
# CrSiHg (PBE, relaxed)
# crystal system	trigonal
data_CrSiHg
_space_group_name_H-M_alt 'P 3 m 1'
_space_group_IT_number 156
_cell_length_a 4.1159
_cell_length_b 4.1159
_cell_length_c 3.6255
_cell_angle_alpha 90.00
_cell_angle_beta 90.00
_cell_angle_gamma 120.00
loop_
_space_group_symop_operation_xyz
'x,y,z'
'-y,x-y,z'
'-x+y,-x,z'
'-y,-x,z'
'-x+y,y,z'
'x,x-y,z'
loop_
_atom_site_label
_atom_site_type_symbol
_atom_site_fract_x
_atom_site_fract_y
_atom_site_fract_z
Cr1 Cr 0.0000 0.0000 0.0000
Si1 Si 0.6667 0.3333 0.8354
Hg1 Hg 0.3333 0.6667 0.4380

B.
# CrSiHg (PBE, relaxed)
# crystal system	tetragonal
data_CrSiHg
_space_group_name_H-M_alt 'I 4 m m'
_space_group_IT_number 107
_space_group_name_Hall 'I 4 -2'
_cell_length_a 3.152
_cell_length_b 3.152
_cell_length_c 10.144
_cell_angle_alpha 90.00
_cell_angle_beta 90.00
_cell_angle_gamma 90.00
loop_
_atom_site_label
_atom_site_type_symbol
_atom_site_fract_x
_atom_site_fract_y
_atom_site_fract_z
Cr1 Cr 0.000 0.000 0.000
Si1 Si 0.000 0.000 0.582
Hg1 Hg 0.000 0.000 0.296

C.
# CrSiHg (PBE, relaxed)
# crystal system	cubic
data_CrSiHg
_space_group_name_H-M_alt 'F -4 3 m'
_space_group_IT_number 216
_space_group_name_Hall 'F -4 2 3'
_cell_length_a 6.140
_cell_length_b 6.140
_cell_length_c 6.140
_cell_angle_alpha 90.00
_cell_angle_beta 90.00
_cell_angle_gamma 90.00
loop_
_atom_site_label
_atom_site_type_symbol
_atom_site_fract_x
_atom_site_fract_y
_atom_site_fract_z
Cr1 Cr 0.000 0.000 0.000
Si1 Si 0.250 0.250 0.750
Hg1 Hg 0.000 0.000 0.500

D.
# CrSiHg (PBE, relaxed)
# crystal system	trigonal
data_CrSiHg
_space_group_name_H-M_alt 'P 3 m 1'
_space_group_IT_number 156
_cell_length_a 2.9862
_cell_length_b 2.9862
_cell_length_c 6.6353
_cell_angle_alpha 90.00
_cell_angle_beta 90.00
_cell_angle_gamma 120.00
loop_
_space_group_symop_operation_xyz
'x,y,z'
'-y,x-y,z'
'-x+y,-x,z'
'-y,-x,z'
'-x+y,y,z'
'x,x-y,z'
loop_
_atom_site_label
_atom_site_type_symbol
_atom_site_fract_x
_atom_site_fract_y
_atom_site_fract_z
Cr1 Cr 0.0000 0.0000 0.0000
Si1 Si 0.6667 0.3333 0.7310
Hg1 Hg 0.3333 0.6667 0.3495

Most stable of them? B.

A.
# TaCr2SnHg (PBE, relaxed)
# crystal system	tetragonal
data_TaCr2SnHg
_space_group_name_H-M_alt 'P 4/m m m'
_space_group_IT_number 123
_space_group_name_Hall '-P 4 2'
_cell_length_a 4.750
_cell_length_b 4.750
_cell_length_c 5.082
_cell_angle_alpha 90.00
_cell_angle_beta 90.00
_cell_angle_gamma 90.00
loop_
_atom_site_label
_atom_site_type_symbol
_atom_site_fract_x
_atom_site_fract_y
_atom_site_fract_z
Ta1 Ta 0.000 0.000 0.000
Cr1 Cr 0.000 0.500 0.500
Sn1 Sn 0.500 0.500 0.000
Hg1 Hg 0.000 0.000 0.500

B.
# TaCr2SnHg (PBE, relaxed)
# crystal system	tetragonal
data_TaCr2SnHg
_space_group_name_H-M_alt 'P 4/m m m'
_space_group_IT_number 123
_space_group_name_Hall '-P 4 2'
_cell_length_a 4.760
_cell_length_b 4.760
_cell_length_c 5.410
_cell_angle_alpha 90.00
_cell_angle_beta 90.00
_cell_angle_gamma 90.00
loop_
_atom_site_label
_atom_site_type_symbol
_atom_site_fract_x
_atom_site_fract_y
_atom_site_fract_z
Ta1 Ta 0.000 0.000 0.000
Cr1 Cr 0.000 0.500 0.000
Sn1 Sn 0.500 0.500 0.500
Hg1 Hg 0.000 0.000 0.500

Most stable of them? B.

A.
# SrCr2Hg2 (PBE, relaxed)
# crystal system	tetragonal
data_SrCr2Hg2
_space_group_name_H-M_alt 'I 4/m m m'
_space_group_IT_number 139
_space_group_name_Hall '-I 4 2'
_cell_length_a 3.298
_cell_length_b 3.298
_cell_length_c 19.367
_cell_angle_alpha 90.00
_cell_angle_beta 90.00
_cell_angle_gamma 90.00
loop_
_atom_site_label
_atom_site_type_symbol
_atom_site_fract_x
_atom_site_fract_y
_atom_site_fract_z
Sr1 Sr 0.000 0.000 0.000
Cr1 Cr 0.000 0.500 0.250
Hg1 Hg 0.000 0.000 0.374

B.
# SrCr2Hg2 (PBE, relaxed)
# crystal system	tetragonal
data_SrCr2Hg2
_space_group_name_H-M_alt 'P 4/m b m'
_space_group_IT_number 127
_space_group_name_Hall '-P 4 2ab'
_cell_length_a 8.377
_cell_length_b 8.377
_cell_length_c 3.120
_cell_angle_alpha 90.00
_cell_angle_beta 90.00
_cell_angle_gamma 90.00
loop_
_atom_site_label
_atom_site_type_symbol
_atom_site_fract_x
_atom_site_fract_y
_atom_site_fract_z
Sr1 Sr 0.000 0.000 0.000
Cr1 Cr 0.080 0.420 0.500
Hg1 Hg 0.194 0.694 0.000

Most stable of them? A.

A.
# SrCr3Hg (PBE, relaxed)
# crystal system	cubic
data_SrCr3Hg
_space_group_name_H-M_alt 'P m -3 m'
_space_group_IT_number 221
_space_group_name_Hall '-P 4 2 3'
_cell_length_a 6.013
_cell_length_b 6.013
_cell_length_c 6.013
_cell_angle_alpha 90.00
_cell_angle_beta 90.00
_cell_angle_gamma 90.00
loop_
_atom_site_label
_atom_site_type_symbol
_atom_site_fract_x
_atom_site_fract_y
_atom_site_fract_z
Sr1 Sr 0.000 0.000 0.000
Cr1 Cr 0.000 0.000 0.500
Hg1 Hg 0.500 0.500 0.500

B.
# SrCr3Hg (PBE, relaxed)
# crystal system	cubic
data_SrCr3Hg
_space_group_name_H-M_alt 'P m -3 m'
_space_group_IT_number 221
_space_group_name_Hall '-P 4 2 3'
_cell_length_a 5.256
_cell_length_b 5.256
_cell_length_c 5.256
_cell_angle_alpha 90.00
_cell_angle_beta 90.00
_cell_angle_gamma 90.00
loop_
_atom_site_label
_atom_site_type_symbol
_atom_site_fract_x
_atom_site_fract_y
_atom_site_fract_z
Sr1 Sr 0.000 0.000 0.000
Cr1 Cr 0.000 0.500 0.500
Hg1 Hg 0.500 0.500 0.500

Most stable of them? B.

A.
# TaCrHg (PBE, relaxed)
# crystal system	tetragonal
data_TaCrHg
_space_group_name_H-M_alt 'I 4 m m'
_space_group_IT_number 107
_space_group_name_Hall 'I 4 -2'
_cell_length_a 3.273
_cell_length_b 3.273
_cell_length_c 9.640
_cell_angle_alpha 90.00
_cell_angle_beta 90.00
_cell_angle_gamma 90.00
loop_
_atom_site_label
_atom_site_type_symbol
_atom_site_fract_x
_atom_site_fract_y
_atom_site_fract_z
Ta1 Ta 0.000 0.000 0.000
Cr1 Cr 0.000 0.000 0.623
Hg1 Hg 0.000 0.000 0.305

B.
# TaCrHg (PBE, relaxed)
# crystal system	cubic
data_TaCrHg
_space_group_name_H-M_alt 'F -4 3 m'
_space_group_IT_number 216
_space_group_name_Hall 'F -4 2 3'
_cell_length_a 6.173
_cell_length_b 6.173
_cell_length_c 6.173
_cell_angle_alpha 90.00
_cell_angle_beta 90.00
_cell_angle_gamma 90.00
loop_
_atom_site_label
_atom_site_type_symbol
_atom_site_fract_x
_atom_site_fract_y
_atom_site_fract_z
Ta1 Ta 0.000 0.000 0.000
Cr1 Cr 0.250 0.250 0.250
Hg1 Hg 0.000 0.000 0.500

C.
# TaCrHg (PBE, relaxed)
# crystal system	cubic
data_TaCrHg
_space_group_name_H-M_alt 'F -4 3 m'
_space_group_IT_number 216
_space_group_name_Hall 'F -4 2 3'
_cell_length_a 6.374
_cell_length_b 6.374
_cell_length_c 6.374
_cell_angle_alpha 90.00
_cell_angle_beta 90.00
_cell_angle_gamma 90.00
loop_
_atom_site_label
_atom_site_type_symbol
_atom_site_fract_x
_atom_site_fract_y
_atom_site_fract_z
Ta1 Ta 0.000 0.000 0.000
Cr1 Cr 0.250 0.250 0.750
Hg1 Hg 0.250 0.250 0.250

Most stable of them? A.

A.
# TaCrHg2 (PBE, relaxed)
# crystal system	trigonal
data_TaCrHg2
_space_group_name_H-M_alt 'R -3 m'
_space_group_IT_number 166
_space_group_name_Hall '-R 3 2"'
_cell_length_a 3.0681
_cell_length_b 3.0681
_cell_length_c 28.3298
_cell_angle_alpha 90.00
_cell_angle_beta 90.00
_cell_angle_gamma 120.00
loop_
_atom_site_label
_atom_site_type_symbol
_atom_site_fract_x
_atom_site_fract_y
_atom_site_fract_z
Ta1 Ta 0.0000 0.0000 0.0000
Cr1 Cr 0.0000 0.0000 0.5000
Hg1 Hg 0.0000 0.0000 0.2460

B.
# TaCrHg2 (PBE, relaxed)
# crystal system	monoclinic
data_TaCrHg2
_space_group_name_H-M_alt 'P 1 2/m 1'
_space_group_IT_number 10
_cell_length_a 3.044
_cell_length_b 4.145
_cell_length_c 5.916
_cell_angle_alpha 90.00
_cell_angle_beta 90.11
_cell_angle_gamma 90.00
loop_
_space_group_symop_operation_xyz
'x,y,z'
'-x,-y,-z'
'-x,y,-z'
'x,-y,z'
loop_
_atom_site_label
_atom_site_type_symbol
_atom_site_fract_x
_atom_site_fract_y
_atom_site_fract_z
Ta1 Ta 0.000 0.000 0.000
Cr1 Cr 0.000 0.000 0.500
Hg1 Hg 0.500 0.500 0.255

Most stable of them? B.

A.
# TaCrHg2 (PBE, relaxed)
# crystal system	tetragonal
data_TaCrHg2
_space_group_name_H-M_alt 'I -4 m 2'
_space_group_IT_number 119
_space_group_name_Hall 'I -4 -2'
_cell_length_a 4.117
_cell_length_b 4.117
_cell_length_c 8.712
_cell_angle_alpha 90.00
_cell_angle_beta 90.00
_cell_angle_gamma 90.00
loop_
_atom_site_label
_atom_site_type_symbol
_atom_site_fract_x
_atom_site_fract_y
_atom_site_fract_z
Ta1 Ta 0.000 0.000 0.000
Cr1 Cr 0.000 0.500 0.750
Hg1 Hg 0.000 0.000 0.500
Hg2 Hg 0.000 0.500 0.250

B.
# TaCrHg2 (PBE, relaxed)
# crystal system	tetragonal
data_TaCrHg2
_space_group_name_H-M_alt 'P 4/m m m'
_space_group_IT_number 123
_space_group_name_Hall '-P 4 2'
_cell_length_a 4.156
_cell_length_b 4.156
_cell_length_c 4.285
_cell_angle_alpha 90.00
_cell_angle_beta 90.00
_cell_angle_gamma 90.00
loop_
_atom_site_label
_atom_site_type_symbol
_atom_site_fract_x
_atom_site_fract_y
_atom_site_fract_z
Ta1 Ta 0.000 0.000 0.000
Cr1 Cr 0.500 0.500 0.000
Hg1 Hg 0.000 0.500 0.500

Most stable of them? B.

A.
# TaCrHg2 (PBE, relaxed)
# crystal system	monoclinic
data_TaCrHg2
_space_group_name_H-M_alt 'C 1 m 1'
_space_group_IT_number 8
_cell_length_a 10.823
_cell_length_b 3.120
_cell_length_c 4.934
_cell_angle_alpha 90.00
_cell_angle_beta 116.99
_cell_angle_gamma 90.00
loop_
_space_group_symop_operation_xyz
'x,y,z'
'x,-y,z'
'x+1/2,y+1/2,z'
'x+1/2,-y+1/2,z'
loop_
_atom_site_label
_atom_site_type_symbol
_atom_site_fract_x
_atom_site_fract_y
_atom_site_fract_z
Ta1 Ta 0.000 0.000 0.000
Cr1 Cr 0.196 0.500 0.196
Hg1 Hg 0.221 0.000 0.721
Hg2 Hg 0.446 0.000 0.446

B.
# TaCrHg2 (PBE, relaxed)
# crystal system	tetragonal
data_TaCrHg2
_space_group_name_H-M_alt 'P 4 m m'
_space_group_IT_number 99
_cell_length_a 3.247
_cell_length_b 3.247
_cell_length_c 7.125
_cell_angle_alpha 90.00
_cell_angle_beta 90.00
_cell_angle_gamma 90.00
loop_
_space_group_symop_operation_xyz
'x,y,z'
'-y,x,z'
'-x,-y,z'
'y,-x,z'
'-x,y,z'
'y,x,z'
'x,-y,z'
'-y,-x,z'
loop_
_atom_site_label
_atom_site_type_symbol
_atom_site_fract_x
_atom_site_fract_y
_atom_site_fract_z
Ta1 Ta 0.000 0.000 0.000
Cr1 Cr 0.500 0.500 0.163
Hg1 Hg 0.000 0.000 0.422
Hg2 Hg 0.500 0.500 0.718

C.
# TaCrHg2 (PBE, relaxed)
# crystal system	orthorhombic
data_TaCrHg2
_space_group_name_H-M_alt 'C m m 2'
_space_group_IT_number 35
_cell_length_a 3.317
_cell_length_b 4.913
_cell_length_c 9.325
_cell_angle_alpha 90.00
_cell_angle_beta 90.00
_cell_angle_gamma 90.00
loop_
_space_group_symop_operation_xyz
'x,y,z'
'-x,-y,z'
'-x,y,z'
'x,-y,z'
'x+1/2,y+1/2,z'
'-x+1/2,-y+1/2,z'
'-x+1/2,y+1/2,z'
'x+1/2,-y+1/2,z'
loop_
_atom_site_label
_atom_site_type_symbol
_atom_site_fract_x
_atom_site_fract_y
_atom_site_fract_z
Ta1 Ta 0.000 0.000 0.000
Cr1 Cr 0.000 0.500 0.194
Hg1 Hg 0.000 0.000 0.439
Hg2 Hg 0.000 0.500 0.731

D.
# TaCrHg2 (PBE, relaxed)
# crystal system	cubic
data_TaCrHg2
_space_group_name_H-M_alt 'F -4 3 m'
_space_group_IT_number 216
_space_group_name_Hall 'F -4 2 3'
_cell_length_a 6.704
_cell_length_b 6.704
_cell_length_c 6.704
_cell_angle_alpha 90.00
_cell_angle_beta 90.00
_cell_angle_gamma 90.00
loop_
_atom_site_label
_atom_site_type_symbol
_atom_site_fract_x
_atom_site_fract_y
_atom_site_fract_z
Ta1 Ta 0.000 0.000 0.000
Cr1 Cr 0.250 0.250 0.250
Hg1 Hg 0.000 0.000 0.500
Hg2 Hg 0.250 0.250 0.750

Most stable of them? B.

A.
# TaCrHg2 (PBE, relaxed)
# crystal system	tetragonal
data_TaCrHg2
_space_group_name_H-M_alt 'I 4/m m m'
_space_group_IT_number 139
_space_group_name_Hall '-I 4 2'
_cell_length_a 4.090
_cell_length_b 4.090
_cell_length_c 8.745
_cell_angle_alpha 90.00
_cell_angle_beta 90.00
_cell_angle_gamma 90.00
loop_
_atom_site_label
_atom_site_type_symbol
_atom_site_fract_x
_atom_site_fract_y
_atom_site_fract_z
Ta1 Ta 0.000 0.000 0.000
Cr1 Cr 0.000 0.000 0.500
Hg1 Hg 0.000 0.500 0.250

B.
# TaCrHg2 (PBE, relaxed)
# crystal system	tetragonal
data_TaCrHg2
_space_group_name_H-M_alt 'I -4 2 d'
_space_group_IT_number 122
_space_group_name_Hall 'I -4 2bw'
_cell_length_a 7.477
_cell_length_b 7.477
_cell_length_c 5.558
_cell_angle_alpha 90.00
_cell_angle_beta 90.00
_cell_angle_gamma 90.00
loop_
_atom_site_label
_atom_site_type_symbol
_atom_site_fract_x
_atom_site_fract_y
_atom_site_fract_z
Ta1 Ta 0.000 0.000 0.000
Cr1 Cr 0.000 0.000 0.500
Hg1 Hg 0.231 0.250 0.625

C.
# TaCrHg2 (PBE, relaxed)
# crystal system	cubic
data_TaCrHg2
_space_group_name_H-M_alt 'F m -3 m'
_space_group_IT_number 225
_space_group_name_Hall '-F 4 2 3'
_cell_length_a 6.687
_cell_length_b 6.687
_cell_length_c 6.687
_cell_angle_alpha 90.00
_cell_angle_beta 90.00
_cell_angle_gamma 90.00
loop_
_atom_site_label
_atom_site_type_symbol
_atom_site_fract_x
_atom_site_fract_y
_atom_site_fract_z
Ta1 Ta 0.000 0.000 0.000
Cr1 Cr 0.000 0.000 0.500
Hg1 Hg 0.250 0.250 0.250

Most stable of them? A.

A.
# Cr3TcHg (PBE, relaxed)
# crystal system	cubic
data_Cr3TcHg
_space_group_name_H-M_alt 'P m -3 m'
_space_group_IT_number 221
_space_group_name_Hall '-P 4 2 3'
_cell_length_a 4.991
_cell_length_b 4.991
_cell_length_c 4.991
_cell_angle_alpha 90.00
_cell_angle_beta 90.00
_cell_angle_gamma 90.00
loop_
_atom_site_label
_atom_site_type_symbol
_atom_site_fract_x
_atom_site_fract_y
_atom_site_fract_z
Cr1 Cr 0.000 0.000 0.500
Tc1 Tc 0.500 0.500 0.500
Hg1 Hg 0.000 0.000 0.000

B.
# Cr3TcHg (PBE, relaxed)
# crystal system	cubic
data_Cr3TcHg
_space_group_name_H-M_alt 'P m -3 m'
_space_group_IT_number 221
_space_group_name_Hall '-P 4 2 3'
_cell_length_a 4.675
_cell_length_b 4.675
_cell_length_c 4.675
_cell_angle_alpha 90.00
_cell_angle_beta 90.00
_cell_angle_gamma 90.00
loop_
_atom_site_label
_atom_site_type_symbol
_atom_site_fract_x
_atom_site_fract_y
_atom_site_fract_z
Cr1 Cr 0.000 0.000 0.500
Tc1 Tc 0.000 0.000 0.000
Hg1 Hg 0.500 0.500 0.500

Most stable of them? B.